[1]
The following is a DFT calculation (PBE) of a relaxed structure of NaAsO2.

raw formation energy	-1.46	eV per atom

Lattice parameters (Å, degrees): 6.6636 7.2157 5.0128 90.00 90.93 90.00
Space group C2/m (No. 12)
Inequivalent atoms, fractional coordinates:
Na: 0.0000 0.2394 0.0000 x4
As: 0.2138 0.5000 0.5386 x4
O: 0.0000 0.3238 0.5000 x4
O: 0.2463 0.5000 0.8828 x4



[2]
The following is a DFT calculation (PBE) of a relaxed structure of K2AcTlS4.

raw formation energy	-1.17	eV per atom

Lattice parameters (Å, degrees): 12.0326 12.4630 8.4952 90.00 132.61 90.00
Space group C2/c (No. 15)
Inequivalent atoms, fractional coordinates:
K: 0.0000 0.0000 0.0000 x4
K: 0.2500 0.2500 0.0000 x4
Ac: 0.2500 0.2500 0.5000 x4
Tl: 0.0000 0.5000 0.0000 x4
S: 0.0058 0.2548 0.0250 x8
S: 0.2089 0.4953 0.4910 x8



[3]
The following is a DFT calculation (PBE) of a relaxed structure of Li3GeW.

formation energy	1.52	eV/atom

Lattice parameters (Å, degrees): 4.9153 4.9153 4.9153 90.00 90.00 90.00
Space group Pm-3m (No. 221)
Inequivalent atoms, fractional coordinates:
Li: 0.0000 0.0000 0.5000 x3
Ge: 0.5000 0.5000 0.5000 x1
W: 0.0000 0.0000 0.0000 x1



[4]
The following is a DFT calculation (PBE) of a relaxed structure of YCdO.

raw formation energy	-2.06	eV per atom

Lattice parameters (Å, degrees): 3.9237 3.9237 8.0322 90.00 90.00 90.00
Space group P4/nmm (No. 129, origin choice 2)
Inequivalent atoms, fractional coordinates:
Y: 0.2500 0.2500 0.1353 x2
Cd: 0.2500 0.2500 0.5814 x2
O: 0.2500 0.7500 0.0000 x2



[5]
The following is a DFT calculation (PBE) of a relaxed structure of Dy2Be4CuIr3.

formation energy	-0.57	eV/atom

Lattice parameters (Å, degrees): 3.9009 3.9009 9.6072 90.00 90.00 90.00
Space group P-4m2 (No. 115)
Inequivalent atoms, fractional coordinates:
Dy: 0.0000 0.5000 0.2470 x2
Be: 0.0000 0.0000 0.0000 x1
Be: 0.0000 0.5000 0.6275 x2
Be: 0.5000 0.5000 0.0000 x1
Cu: 0.0000 0.0000 0.5000 x1
Ir: 0.0000 0.5000 0.8713 x2
Ir: 0.5000 0.5000 0.5000 x1



[6]
The following is a DFT calculation (PBE) of a relaxed structure of Cs4IBr2.

raw formation energy	-1.44	eV per atom

Lattice parameters (Å, degrees): 5.3109 5.3109 53.7482 90.00 90.00 120.00
Space group R-3m (No. 166, hexagonal axes)
Inequivalent atoms, fractional coordinates:
Cs: 0.0000 0.0000 0.1227 x6
Cs: 0.0000 0.0000 0.2891 x6
I: 0.0000 0.0000 0.0000 x3
Br: 0.0000 0.0000 0.4168 x6



[7]
The following is a DFT calculation (PBE) of a relaxed structure of LiGe2Pt2.

formation energy	-0.51	eV/atom

Lattice parameters (Å, degrees): 5.6436 7.1575 4.9746 90.00 115.47 90.00
Space group C2/m (No. 12)
Inequivalent atoms, fractional coordinates:
Li: 0.0000 0.0000 0.0000 x2
Ge: 0.1056 0.5000 0.2868 x4
Pt: 0.0000 0.2068 0.5000 x4



[8]
The following is a DFT calculation (PBE) of a relaxed structure of Ba2NaCaS.

raw formation energy	-0.73	eV per atom

Lattice parameters (Å, degrees): 6.3967 6.3967 5.4711 90.00 90.00 90.00
Space group P4/mmm (No. 123)
Inequivalent atoms, fractional coordinates:
Ba: 0.0000 0.5000 0.0000 x2
Na: 0.0000 0.0000 0.5000 x1
Ca: 0.5000 0.5000 0.5000 x1
S: 0.5000 0.5000 0.0000 x1



Please write out number 3 again, unchanged.
The following is a DFT calculation (PBE) of a relaxed structure of Li3GeW.

formation energy	1.52	eV/atom

Lattice parameters (Å, degrees): 4.9153 4.9153 4.9153 90.00 90.00 90.00
Space group Pm-3m (No. 221)
Inequivalent atoms, fractional coordinates:
Li: 0.0000 0.0000 0.5000 x3
Ge: 0.5000 0.5000 0.5000 x1
W: 0.0000 0.0000 0.0000 x1